Material: Na2MgBr2F2
Method: DFT, GGA-PBE
State: relaxed

Cell lengths 4.044, 4.044, 8.887 Å; angles 103.15, 103.15, 90.00 degrees
Element x y z (fractional)
1 Na 0.620 0.620 0.240
2 Na 0.380 0.380 0.760
3 F 0.000 0.500 0.000
4 F 0.500 0.000 0.000
5 Mg 0.000 0.000 0.000
6 Br 0.161 0.161 0.321
7 Br 0.839 0.839 0.679

Output
As for the symmetry: I4/mmm. For the density, the calculation gives 3.236 Mg/m³.

---

Material: NaMgBr2F
Method: DFT, GGA-PBE
State: relaxed

Cell lengths 5.422, 5.422, 3.857 Å; angles 90.00, 90.00, 90.00 degrees
Element x y z (fractional)
1 F 0.000 0.000 0.500
2 Br 0.500 0.000 0.000
3 Br 0.000 0.500 0.000
4 Na 0.500 0.500 0.500
5 Mg 0.000 0.000 0.000

Output
As for the symmetry: P4/mmm. For the density, the calculation gives 3.311 Mg/m³.

---

Material: MgBrOF2
Method: DFT, GGA-PBE
State: relaxed

Cell lengths 4.603, 4.603, 4.049 Å; angles 90.00, 90.00, 90.00 degrees
Element x y z (fractional)
1 O 0.000 0.000 0.500
2 Mg 0.500 0.500 0.500
3 F 0.000 0.500 0.000
4 F 0.500 0.000 0.000
5 Br 0.000 0.000 0.000

Output
As for the symmetry: P4/mmm. For the density, the calculation gives 3.063 Mg/m³.

---

Material: MgBrOF2
Method: DFT, GGA-PBE
State: relaxed

Cell lengths 3.688, 3.688, 5.153 Å; angles 90.00, 90.00, 90.00 degrees
Element x y z (fractional)
1 F 0.000 0.500 0.000
2 F 0.500 0.000 0.000
3 O 0.000 0.000 0.500
4 Br 0.500 0.500 0.500
5 Mg 0.000 0.000 0.000

Output
As for the symmetry: P4/mmm. For the density, the calculation gives 3.748 Mg/m³.

---

| no. | formation energy (no corrections) (eV/atom) |
| --- | --- |
| 1 | -2.312 |
| 2 | -2.010 |
| 3 | -0.461 |
| 4 | -1.443 |